# 1
VASP calculation (GGA-PBE) on a geometry-optimized TbGa2Ag structure.

Cell lengths 4.4019, 4.4019, 14.8130 Å; angles 90.00, 90.00, 120.00 degrees
Closest atoms and distances in Å follow each position.
Element x y z (fractional)
1 Tb 0.0000 0.0000 0.0000  8 Ga 3.03-3.28
2 Tb 0.3333 0.6667 0.6667  8 Ga 3.03-3.28
3 Tb 0.6667 0.3333 0.3333  8 Ga 3.03-3.28
4 Ga 0.0000 0.0000 0.2217  3 Ag 2.67
5 Ga 0.0000 0.0000 0.7783  3 Ag 2.67
6 Ga 0.3333 0.6667 0.4450  3 Ag 2.67
7 Ga 0.3333 0.6667 0.8884  3 Ag 2.67
8 Ga 0.6667 0.3333 0.1116  3 Ag 2.67
9 Ga 0.6667 0.3333 0.5550  3 Ag 2.67
10 Ag 0.0000 0.0000 0.5000  6 Ga 2.67
11 Ag 0.3333 0.6667 0.1667  6 Ga 2.67
12 Ag 0.6667 0.3333 0.8333  6 Ga 2.67

* symmetry: R-3m
* energy relative to the elements: -412 meV/atom
* total moment: 0.00 Bohr magnetons per cell
* density of states at the Fermi level: 1.7 states/eV/f.u.


# 2
VASP calculation (GGA-PBE) on a geometry-optimized La6Ag2Hg structure.

Cell lengths 9.0785, 9.0785, 9.0785 Å; angles 110.68, 109.70, 108.04 degrees
Closest atoms and distances in Å follow each position.
Element x y z (fractional)
1 La 0.0489 0.8266 0.2222  3 Ag 3.12-3.31, 1 Hg 3.44
2 La 0.2514 0.5550 0.3036  2 Ag 3.16-3.37, 2 Hg 3.34-3.36
3 La 0.2514 0.9479 0.6964  2 Ag 3.16-3.37, 2 Hg 3.34-3.36
4 La 0.2692 0.3220 0.5912  3 Ag 3.34-3.37, 1 Hg 3.36, 1 La 3.68
5 La 0.2692 0.6780 0.9471  3 Ag 3.34-3.37, 1 Hg 3.36, 1 La 3.68
6 La 0.3956 0.1734 0.2222  3 Ag 3.12-3.31, 1 Hg 3.44
7 La 0.6044 0.8266 0.7778  3 Ag 3.12-3.31, 1 Hg 3.44
8 La 0.7308 0.3220 0.0529  3 Ag 3.34-3.37, 1 Hg 3.36, 1 La 3.68
9 La 0.7308 0.6780 0.4088  3 Ag 3.34-3.37, 1 Hg 3.36, 1 La 3.68
10 La 0.7486 0.0521 0.3036  2 Ag 3.16-3.37, 2 Hg 3.34-3.36
11 La 0.7486 0.4450 0.6964  2 Ag 3.16-3.37, 2 Hg 3.34-3.36
12 La 0.9511 0.1734 0.7778  3 Ag 3.12-3.31, 1 Hg 3.44
13 Ag 0.0000 0.1416 0.1416  1 Ag 2.92, 2 La 3.16
14 Ag 0.0000 0.8584 0.8584  1 Ag 2.92, 2 La 3.16
15 Ag 0.3685 0.3685 0.0000  1 Ag 2.81, 2 La 3.12
16 Ag 0.6315 0.6315 0.0000  1 Ag 2.81, 2 La 3.12
17 Hg 0.0000 0.5000 0.5000  8 La 3.36, 2 Ag 3.70
18 Hg 0.5000 0.0000 0.5000  8 La 3.34-3.44

* symmetry: Immm
* energy relative to the elements: -189 meV/atom
* total moment: 0.00 Bohr magnetons per cell
* density of states at the Fermi level: 13.0 states/eV/f.u.


# 3
VASP calculation (GGA-PBE) on a geometry-optimized LiAgF structure.

Cell lengths 9.7674, 2.9931, 6.4461 Å; angles 90.00, 98.67, 90.00 degrees
Closest atoms and distances in Å follow each position.
Element x y z (fractional)
1 Li 0.1522 0.0000 0.4001  3 F 1.83-1.94
2 Li 0.3478 0.5000 0.5999  3 F 1.83-1.94
3 Li 0.6522 0.5000 0.4001  3 F 1.83-1.94
4 Li 0.8478 0.0000 0.5999  3 F 1.83-1.94
5 Ag 0.1271 0.5000 0.9383  1 F 2.47, 1 Ag 2.72
6 Ag 0.3729 0.0000 0.0617  1 F 2.47, 1 Ag 2.72
7 Ag 0.6271 0.0000 0.9383  1 F 2.47, 1 Ag 2.72
8 Ag 0.8729 0.5000 0.0617  1 F 2.47, 1 Ag 2.72
9 F 0.1466 0.5000 0.5606  3 Li 1.83-1.94
10 F 0.3534 0.0000 0.4394  3 Li 1.83-1.94
11 F 0.6466 0.0000 0.5606  3 Li 1.83-1.94
12 F 0.8534 0.5000 0.4394  3 Li 1.83-1.94

* symmetry: C2/m
* E_form (uncorrected): -1.557 eV/atom
* total moment: 0.00 Bohr magnetons per cell
* density of states at the Fermi level: 0.6 states/eV/f.u.
* relative energy among the computed polymorphs: 81 meV/atom


# 4
VASP calculation (GGA-PBE) on a geometry-optimized ScTiH3 structure.

Cell lengths 3.5798, 3.5798, 3.5798 Å; angles 90.00, 90.00, 90.00 degrees
Closest atoms and distances in Å follow each position.
Element x y z (fractional)
1 Sc 0.0000 0.0000 0.0000  12 H 2.53
2 Ti 0.5000 0.5000 0.5000  6 H 1.79
3 H 0.0000 0.5000 0.5000  2 Ti 1.79
4 H 0.5000 0.0000 0.5000  2 Ti 1.79
5 H 0.5000 0.5000 0.0000  2 Ti 1.79

* symmetry: Pm-3m
* total moment: 0.00 Bohr magnetons per cell
* density of states at the Fermi level: 3.0 states/eV/f.u.
* relative energy among the computed polymorphs: 86 meV/atom


| no. | electronic total energy (eV/atom) |
| --- | --- |
| 1 | -3.80 |
| 2 | -4.14 |
| 3 | -3.77 |
| 4 | -5.21 |